1.
ZnGeTe | PBE-GGA | optimized geometry

DFT total energy (eV/atom): -2.98
Distance to the lowest polymorph of the same formula (kJ/mol of atoms): 0.0
DOS at the Fermi energy (states/eV per cell): 0.8
Formation energy without anion corrections (eV per atom): 0.027

Unit cell a=3.9548 b=4.3223 c=4.7741 alpha=89.02 beta=89.90 gamma=62.99
Space group P1 (No. 1)
Unique sites:
Zn 0.0000 0.0000 0.0000 (multiplicity 1)
Ge 0.7094 0.5806 0.7507 (multiplicity 1)
Te 0.2785 0.4400 0.3518 (multiplicity 1)


2.
UBeOs | PBE-GGA | optimized geometry

DFT total energy (eV/atom): -8.74
Calculated formation energy (eV/atom): 0.006
Distance to the lowest polymorph of the same formula (kJ/mol of atoms): 2.6
DOS at the Fermi energy (states/eV per cell): 7.6

Unit cell a=2.9907 b=2.9907 c=10.2649 alpha=90.00 beta=90.00 gamma=90.00
Space group I4mm (No. 107)
Unique sites:
U 0.0000 0.0000 0.0000 (multiplicity 2)
Be 0.0000 0.0000 0.7051 (multiplicity 2)
Os 0.0000 0.0000 0.3102 (multiplicity 2)


3.
YF | PBE-GGA | optimized geometry

DFT total energy (eV/atom): -6.57
Distance to the lowest polymorph of the same formula (kJ/mol of atoms): 17.8
DOS at the Fermi energy (states/eV per cell): 8.4
Formation energy without anion corrections (eV per atom): -2.406

Unit cell a=9.6081 b=9.6081 c=3.7900 alpha=90.00 beta=90.00 gamma=90.00
Space group I4/m (No. 87)
Unique sites:
Y 0.0669 0.2562 0.0000 (multiplicity 8)
F 0.0713 0.3798 0.5000 (multiplicity 8)


> Which value of DFT total energy does entry 1 give?

-2.98 eV/atom


> Among the records above, which one has the lowest distance to the lowest polymorph of the same formula?

ZnGeTe


What did the first record say?
ZnGeTe | PBE-GGA | optimized geometry

DFT total energy (eV/atom): -2.98
Distance to the lowest polymorph of the same formula (kJ/mol of atoms): 0.0
DOS at the Fermi energy (states/eV per cell): 0.8
Formation energy without anion corrections (eV per atom): 0.027

Unit cell a=3.9548 b=4.3223 c=4.7741 alpha=89.02 beta=89.90 gamma=62.99
Space group P1 (No. 1)
Unique sites:
Zn 0.0000 0.0000 0.0000 (multiplicity 1)
Ge 0.7094 0.5806 0.7507 (multiplicity 1)
Te 0.2785 0.4400 0.3518 (multiplicity 1)


> Among the records above, which one has the highest distance to the lowest polymorph of the same formula?

YF